VASP calculation (GGA-PBE) on a relaxed structure of TmTlCdPd.

```
TmTlCdPd
1.0
4.9593 0.0000 0.0000
2.4797 4.2949 0.0000
2.4797 1.4316 4.0493
Pd Tm Cd Tl
1 1 1 1
Cartesian
4.9593 2.8633 2.0246
2.4797 1.4316 1.0123
7.4390 4.2949 3.0370
0.0000 0.0000 0.0000
```

Summary:
* calculated formation energy: -0.399 eV per atom
* calculated total energy: -3.64 eV/atom
* spin magnetization: 0.00 μB/f.u.